## one
16
Lattice="-4.618 3.354 -2.553 -4.807 -3.447 4.167 1.283 7.805 7.935" Properties=species:S:1:pos:R:3 comment="SmDy3Er4 (PBE, relaxed)" magmom_total_mub_per_cell=0.000 pbc="T T T"
Sm -2.479 -0.792 1.179
Sm -5.362 3.916 4.924
Dy -5.998 0.012 0.958
Dy -7.223 3.080 2.088
Dy -3.697 2.280 2.314
Dy -1.834 3.107 5.150
Dy -3.056 6.178 6.277
Dy -6.581 6.987 6.060
Er -4.895 -2.528 3.277
Er -3.590 1.749 -1.140
Er -4.802 4.825 0.003
Er -6.116 0.534 4.400
Er -4.257 1.380 7.240
Er -2.941 5.649 2.829
Er -5.471 4.454 8.386
Er -4.163 8.709 3.952



## two
8
Lattice="5.494 0.000 -1.095 -0.063 3.512 -0.317 -0.208 1.195 13.283" Properties=species:S:1:pos:R:3 comment="SmDy3Er4 (PBE, relaxed)" magmom_total_mub_per_cell=0.000 pbc="T T T"
Er 3.247 2.007 1.960
Er 1.976 2.701 9.912
Er 1.372 2.415 6.882
Er 3.851 2.293 4.989
Sm 2.747 0.000 -0.547
Dy -0.032 1.756 -0.158
Dy 4.428 4.333 7.887
Dy 0.795 0.375 3.985



The calculated energies rank the structures as follows, beginning with the most stable: one, two.



## one
14
Lattice="11.975 -3.065 -1.543 -9.374 8.057 -1.545 0.021 0.040 6.753" Properties=species:S:1:pos:R:3 comment="Sm4DyEr2 (PBE, relaxed)" magmom_total_mub_per_cell=0.000 pbc="T T T"
Sm 6.901 -0.746 4.454
Sm -4.576 5.207 1.077
Sm -5.213 5.869 4.528
Sm 7.788 -0.929 1.153
Sm -0.906 1.110 3.795
Sm 1.115 3.114 -0.857
Sm 1.923 2.718 2.520
Sm 1.419 -0.126 0.418
Dy -1.227 4.156 1.681
Dy 4.099 1.356 -1.695
Er 4.613 0.540 1.613
Er 10.073 -1.998 -1.234
Er -7.399 7.130 2.142
Er -2.190 4.110 4.990



## two
14
Lattice="-0.705 -5.880 -1.835 4.693 -1.879 4.216 -7.385 1.304 8.800" Properties=species:S:1:pos:R:3 comment="Sm4DyEr2 (PBE, relaxed)" magmom_total_mub_per_cell=0.000 pbc="T T T"
Sm -0.186 -4.400 3.463
Sm -2.880 -0.502 10.689
Sm -0.517 -5.954 0.492
Sm 2.089 -5.311 5.507
Sm -3.494 -4.758 4.338
Sm -5.486 -1.145 5.675
Sm -3.212 -2.055 7.718
Sm 0.096 -1.697 6.844
Dy 2.205 -2.103 4.316
Dy -5.602 -4.352 6.865
Er -4.266 -3.687 10.812
Er 0.869 -2.769 0.369
Er -2.168 -1.619 4.260
Er -1.230 -4.836 6.921



The calculated energies rank the structures as follows, beginning with the most stable: one, two.



## one
20
Lattice="10.892 0.000 0.000 5.446 8.238 0.393 5.446 2.565 7.838" Properties=species:S:1:pos:R:3 comment="Sm5Dy2Er3 (PBE, relaxed)" magmom_total_mub_per_cell=0.001 pbc="T T T"
Sm 8.169 5.401 4.116
Sm 13.615 5.401 4.116
Sm 13.615 8.126 6.192
Sm 2.723 2.677 2.040
Sm 8.169 2.677 2.040
Sm 19.061 8.126 6.192
Sm 5.446 4.598 2.314
Sm 16.338 6.205 5.918
Sm 10.892 3.451 3.819
Sm 10.892 7.352 4.412
Dy 10.892 8.984 7.905
Dy 10.892 1.819 0.326
Dy 16.338 10.006 6.564
Dy 5.446 0.797 1.667
Er 2.723 0.000 0.000
Er 8.169 0.000 0.000
Er 10.892 5.330 6.989
Er 10.892 5.473 1.243
Er 16.338 8.153 3.284
Er 5.446 2.650 4.947



## two
20
Lattice="8.620 1.873 -4.132 0.458 8.785 -4.187 -2.045 -2.332 10.720" Properties=species:S:1:pos:R:3 comment="Sm5Dy2Er3 (PBE, relaxed)" magmom_total_mub_per_cell=0.000 pbc="T T T"
Sm 2.512 5.015 -2.789
Sm 4.521 3.311 5.191
Sm -0.574 5.549 2.496
Sm 3.490 2.072 2.479
Sm 7.607 2.777 -0.094
Sm 3.543 6.253 -0.077
Sm 6.443 5.561 1.838
Sm 0.590 2.765 0.564
Sm 1.702 -0.016 6.187
Sm 5.330 8.341 -3.785
Dy 5.141 -0.004 4.805
Dy 1.891 8.329 -2.403
Dy 2.965 5.502 3.118
Dy 4.068 2.824 -0.716
Er 0.421 6.745 5.115
Er 6.611 1.580 -2.713
Er 5.898 4.959 -2.327
Er 1.135 3.366 4.729
Er 0.094 6.234 -0.704
Er 6.938 2.092 3.105



The calculated energies rank the structures as follows, beginning with the most stable: two, one.